DFT (GGA-PBE) results for a relaxed structure of CaCeTlGa.

The structure in POSCAR format:
```
CaCeTlGa
1.0
0.0000 3.7836 3.7836
3.7836 0.0000 3.7836
3.7836 3.7836 0.0000
Ca Ce Tl Ga
1 1 1 1
Cartesian
0.0000 0.0000 0.0000
3.7836 3.7836 3.7836
5.6755 5.6755 5.6755
1.8918 1.8918 1.8918
```

Properties
Fermi-level density of states: 6.9 states/eV per cell
space-group type: F-43m, No. 216
energy relative to the elements: -365.5 meV/atom
size of the total moment: 0.9 μB per cell

=====

DFT (GGA-PBE) results for a relaxed structure of Ho2PuCd.

The structure in POSCAR format:
```
Ho2PuCd
1.0
5.4595 0.0000 0.0000
0.0000 5.4595 0.0000
0.0000 0.0000 3.5952
Ho Pu Cd
2 1 1
Cartesian
0.0000 2.7298 0.0000
2.7298 0.0000 0.0000
0.0000 0.0000 1.7976
2.7298 2.7298 1.7976
```

Properties
Fermi-level density of states: 9.3 states/eV per cell
space-group type: P4/mmm, No. 123
energy relative to the elements: -10.0 meV/atom
size of the total moment: 6.5 μB per cell

=====

Among the records above, which one has the highest energy relative to the elements?
Ho2PuCd